# 1
Material: VFeNi2
Method: DFT, PBE-GGA
State: relaxed

The structure in CIF format:
```
data_VFeNi2
_symmetry_space_group_name_H-M 'I -4 2 d'
_symmetry_Int_Tables_number 122
_symmetry_space_group_name_Hall 'I -4 2bw'
_cell_length_a 3.403
_cell_length_b 3.403
_cell_length_c 16.935
_cell_angle_alpha 90.00
_cell_angle_beta 90.00
_cell_angle_gamma 90.00
loop_
_atom_site_label
_atom_site_fract_x
_atom_site_fract_y
_atom_site_fract_z
V1 0.000 0.000 0.000
Fe1 0.000 0.000 0.500
Ni1 0.243 0.250 0.625
```

The spin magnetization is 0.224 μB/atom. As for the density: 7.6 g/cm3. The formation energy comes out at 0.2965 eV per atom.


# 2
Material: VFe3Ni
Method: DFT, PBE-GGA
State: relaxed

The structure in CIF format:
```
data_VFe3Ni
_symmetry_space_group_name_H-M 'P 1 21/c 1'
_symmetry_Int_Tables_number 14
_cell_length_a 4.755
_cell_length_b 8.085
_cell_length_c 6.985
_cell_angle_alpha 90.00
_cell_angle_beta 118.94
_cell_angle_gamma 90.00
loop_
_symmetry_equiv_pos_as_xyz
'x,y,z'
'-x,-y,-z'
'-x,y+1/2,-z+1/2'
'x,-y+1/2,z+1/2'
loop_
_atom_site_label
_atom_site_fract_x
_atom_site_fract_y
_atom_site_fract_z
V1 0.001 0.124 0.245
Fe1 0.195 0.122 0.647
Fe2 0.215 0.629 0.656
Fe3 0.400 0.623 0.050
Ni1 0.386 0.126 0.044
```

The spin magnetization is 1.246 μB/atom. The value obtained for the energy above the most stable polymorph in this dataset is 0.000 eV/atom. As for the density: 7.8 g/cm3. The formation energy comes out at -0.0548 eV per atom.


# 3
Material: V2FeNi6
Method: DFT, PBE-GGA
State: relaxed

The structure in CIF format:
```
data_V2FeNi6
_symmetry_space_group_name_H-M 'C 1 2/m 1'
_symmetry_Int_Tables_number 12
_cell_length_a 10.822
_cell_length_b 3.499
_cell_length_c 5.653
_cell_angle_alpha 90.00
_cell_angle_beta 108.75
_cell_angle_gamma 90.00
loop_
_symmetry_equiv_pos_as_xyz
'x,y,z'
'-x,-y,-z'
'-x,y,-z'
'x,-y,z'
'x+1/2,y+1/2,z'
'-x+1/2,-y+1/2,-z'
'-x+1/2,y+1/2,-z'
'x+1/2,-y+1/2,z'
loop_
_atom_site_label
_atom_site_fract_x
_atom_site_fract_y
_atom_site_fract_z
V1 0.059 0.000 0.320
Fe1 0.000 0.500 0.000
Ni1 0.108 0.500 0.665
Ni2 0.167 0.000 0.002
Ni3 0.222 0.500 0.333
```

The spin magnetization is 0.148 μB/atom. The value obtained for the energy above the most stable polymorph in this dataset is 0.000 eV/atom. As for the density: 8.4 g/cm3. The formation energy comes out at -0.1502 eV per atom.


# 4
Material: V2FeNi8
Method: DFT, PBE-GGA
State: relaxed

The structure in CIF format:
```
data_V2FeNi8
_symmetry_space_group_name_H-M 'C 1 2/m 1'
_symmetry_Int_Tables_number 12
_cell_length_a 6.538
_cell_length_b 12.335
_cell_length_c 4.361
_cell_angle_alpha 90.00
_cell_angle_beta 131.79
_cell_angle_gamma 90.00
loop_
_symmetry_equiv_pos_as_xyz
'x,y,z'
'-x,-y,-z'
'-x,y,-z'
'x,-y,z'
'x+1/2,y+1/2,z'
'-x+1/2,-y+1/2,-z'
'-x+1/2,y+1/2,-z'
'x+1/2,-y+1/2,z'
loop_
_atom_site_label
_atom_site_fract_x
_atom_site_fract_y
_atom_site_fract_z
V1 0.000 0.183 0.000
Fe1 0.000 0.500 0.500
Ni1 0.000 0.304 0.500
Ni2 0.002 0.000 0.755
Ni3 0.238 0.365 0.239
```

The spin magnetization is 0.330 μB/atom. The value obtained for the energy above the most stable polymorph in this dataset is 0.092 eV/atom. As for the density: 7.9 g/cm3. The formation energy comes out at 0.0550 eV per atom.


# 5
Material: V3Fe2Ni8
Method: DFT, PBE-GGA
State: relaxed

The structure in CIF format:
```
data_V3Fe2Ni8
_symmetry_space_group_name_H-M 'R -3 m'
_symmetry_Int_Tables_number 166
_symmetry_space_group_name_Hall '-R 3 2"'
_cell_length_a 4.5734
_cell_length_b 4.5734
_cell_length_c 26.6987
_cell_angle_alpha 90.00
_cell_angle_beta 90.00
_cell_angle_gamma 120.00
loop_
_atom_site_label
_atom_site_fract_x
_atom_site_fract_y
_atom_site_fract_z
V1 0.0000 0.0000 0.0000
V2 0.0000 0.0000 0.1868
Fe1 0.0000 0.0000 0.3615
Ni1 0.0000 0.0000 0.2763
Ni2 0.0011 0.5006 0.7715
```

The spin magnetization is 0.318 μB/atom. As for the density: 7.6 g/cm3. The formation energy comes out at 0.1279 eV per atom.


# 6
Material: VFeNi2
Method: DFT, PBE-GGA
State: relaxed

The structure in CIF format:
```
data_VFeNi2
_symmetry_space_group_name_H-M 'P 1 21/m 1'
_symmetry_Int_Tables_number 11
_cell_length_a 4.981
_cell_length_b 3.596
_cell_length_c 5.576
_cell_angle_alpha 90.00
_cell_angle_beta 113.44
_cell_angle_gamma 90.00
loop_
_symmetry_equiv_pos_as_xyz
'x,y,z'
'-x,-y,-z'
'-x,y+1/2,-z'
'x,-y+1/2,z'
loop_
_atom_site_label
_atom_site_fract_x
_atom_site_fract_y
_atom_site_fract_z
V1 0.218 0.250 0.140
Fe1 0.291 0.750 0.869
Ni1 0.067 0.750 0.374
Ni2 0.431 0.250 0.626
```

The spin magnetization is 0.251 μB/atom. As for the density: 8.1 g/cm3. The formation energy comes out at -0.0957 eV per atom.